# CeY5Sb4 | the Alexandria database | PBE | optimized geometry
data_CeY5Sb4
_chemical_formula_sum 'Ce1 Y5 Sb4'
_cell_length_a 4.348
_cell_length_b 8.470
_cell_length_c 9.618
_cell_angle_alpha 105.18
_cell_angle_beta 103.07
_cell_angle_gamma 90.00
_space_group_name_H-M_alt 'P 1'
_space_group_IT_number 1
_space_group_name_Hall 'P 1'
loop_
_atom_site_label
_atom_site_type_symbol
_atom_site_fract_x
_atom_site_fract_y
_atom_site_fract_z
Ce1 Ce 0.500 0.000 0.000
Y1 Y 0.822 0.650 0.644
Y2 Y 0.839 0.174 0.677
Y3 Y 0.161 0.826 0.323
Y4 Y 0.500 0.500 0.000
Y5 Y 0.178 0.350 0.356
Sb1 Sb 0.328 0.909 0.656
Sb2 Sb 0.991 0.738 0.982
Sb3 Sb 0.672 0.091 0.344
Sb4 Sb 0.009 0.262 0.018
# - Space group: C2/m, No. 12
# - Formation energy without anion corrections: -742 meV/atom
# - Magnetization: 0.94 μB per formula unit

# Ce3YSb2 | the Alexandria database | PBE | optimized geometry
data_Ce3YSb2
_chemical_formula_sum 'Ce6 Y2 Sb4'
_cell_length_a 4.129
_cell_length_b 10.687
_cell_length_c 9.503
_cell_angle_alpha 124.87
_cell_angle_beta 90.00
_cell_angle_gamma 101.14
_space_group_name_H-M_alt 'P 1'
_space_group_IT_number 1
_space_group_name_Hall 'P 1'
loop_
_atom_site_label
_atom_site_type_symbol
_atom_site_fract_x
_atom_site_fract_y
_atom_site_fract_z
Ce1 Ce 0.296 0.593 0.516
Ce2 Ce 0.930 0.860 0.476
Ce3 Ce 0.633 0.266 0.776
Ce4 Ce 0.367 0.734 0.224
Ce5 Ce 0.070 0.140 0.524
Ce6 Ce 0.704 0.407 0.484
Y1 Y 0.899 0.798 0.914
Y2 Y 0.101 0.202 0.086
Sb1 Sb 0.480 0.961 0.791
Sb2 Sb 0.520 0.039 0.209
Sb3 Sb 0.737 0.474 0.194
Sb4 Sb 0.263 0.526 0.806
# - Space group: C2/m, No. 12
# - Formation energy without anion corrections: -657 meV/atom
# - Magnetization: 1.86 μB per formula unit

# CeY4Sb5 | the Alexandria database | PBE | optimized geometry
data_CeY4Sb5
_chemical_formula_sum 'Ce1 Y4 Sb5'
_cell_length_a 4.414
_cell_length_b 6.241
_cell_length_c 11.672
_cell_angle_alpha 105.51
_cell_angle_beta 100.90
_cell_angle_gamma 90.00
_space_group_name_H-M_alt 'P 1'
_space_group_IT_number 1
_space_group_name_Hall 'P 1'
loop_
_atom_site_label
_atom_site_type_symbol
_atom_site_fract_x
_atom_site_fract_y
_atom_site_fract_z
Ce1 Ce 0.000 0.000 0.000
Y1 Y 0.399 0.399 0.798
Y2 Y 0.798 0.798 0.596
Y3 Y 0.202 0.202 0.404
Y4 Y 0.601 0.601 0.202
Sb1 Sb 0.602 0.102 0.204
Sb2 Sb 0.800 0.300 0.601
Sb3 Sb 0.200 0.700 0.399
Sb4 Sb 0.000 0.500 0.000
Sb5 Sb 0.398 0.898 0.796
# - Space group: Immm, No. 71
# - Formation energy without anion corrections: -1142 meV/atom
# - Magnetization: 0.69 μB per formula unit

# Ce4ZnSb | the Alexandria database | PBE | optimized geometry
data_Ce4ZnSb
_chemical_formula_sum 'Ce4 Zn1 Sb1'
_cell_length_a 6.058
_cell_length_b 6.058
_cell_length_c 6.058
_cell_angle_alpha 130.73
_cell_angle_beta 81.94
_cell_angle_gamma 119.19
_space_group_name_H-M_alt 'P 1'
_space_group_IT_number 1
_space_group_name_Hall 'P 1'
loop_
_atom_site_label
_atom_site_type_symbol
_atom_site_fract_x
_atom_site_fract_y
_atom_site_fract_z
Ce1 Ce 0.086 0.759 0.327
Ce2 Ce 0.431 0.759 0.673
Ce3 Ce 0.914 0.241 0.673
Ce4 Ce 0.569 0.241 0.327
Zn1 Zn 0.500 0.500 0.000
Sb1 Sb 0.000 0.000 0.000
# - Space group: Immm, No. 71
# - Formation energy without anion corrections: -256 meV/atom
# - Magnetization: 1.59 μB per formula unit

# CeZrSb3 | the Alexandria database | PBE | optimized geometry
data_CeZrSb3
_chemical_formula_sum 'Ce4 Zr4 Sb12'
_cell_length_a 6.397
_cell_length_b 6.374
_cell_length_c 13.459
_cell_angle_alpha 90.00
_cell_angle_beta 90.00
_cell_angle_gamma 90.00
_space_group_name_H-M_alt 'P 1'
_space_group_IT_number 1
_space_group_name_Hall 'P 1'
loop_
_atom_site_label
_atom_site_type_symbol
_atom_site_fract_x
_atom_site_fract_y
_atom_site_fract_z
Ce1 Ce 0.750 0.490 0.681
Ce2 Ce 0.250 0.510 0.319
Ce3 Ce 0.750 0.990 0.319
Ce4 Ce 0.250 0.010 0.681
Zr1 Zr 0.500 0.250 0.089
Zr2 Zr 0.000 0.750 0.911
Zr3 Zr 0.500 0.750 0.911
Zr4 Zr 0.000 0.250 0.089
Sb1 Sb 0.000 0.250 0.497
Sb2 Sb 0.500 0.750 0.503
Sb3 Sb 0.000 0.750 0.503
Sb4 Sb 0.500 0.250 0.497
Sb5 Sb 0.250 0.128 0.916
Sb6 Sb 0.750 0.872 0.084
Sb7 Sb 0.250 0.628 0.084
Sb8 Sb 0.750 0.372 0.916
Sb9 Sb 0.250 0.509 0.758
Sb10 Sb 0.750 0.491 0.242
Sb11 Sb 0.250 0.009 0.242
Sb12 Sb 0.750 0.991 0.758
# - Space group: Pbcm, No. 57
# - Formation energy without anion corrections: -711 meV/atom
# - Magnetization: 0.79 μB per formula unit

# CeZrSb2 | the Alexandria database | PBE | optimized geometry
data_CeZrSb2
_chemical_formula_sum 'Ce1 Zr1 Sb2'
_cell_length_a 4.296
_cell_length_b 4.296
_cell_length_c 7.489
_cell_angle_alpha 73.34
_cell_angle_beta 73.34
_cell_angle_gamma 60.00
_space_group_name_H-M_alt 'P 1'
_space_group_IT_number 1
_space_group_name_Hall 'P 1'
loop_
_atom_site_label
_atom_site_type_symbol
_atom_site_fract_x
_atom_site_fract_y
_atom_site_fract_z
Sb1 Sb 0.257 0.257 0.229
Sb2 Sb 0.743 0.743 0.771
Zr1 Zr 0.000 0.000 0.000
Ce1 Ce 0.500 0.500 0.500
# - Space group: R-3m, No. 166
# - Formation energy without anion corrections: -834 meV/atom
# - Magnetization: 0.82 μB per formula unit
# - ΔE to the lowest computed polymorph: 0 meV/atom